The following is a PBE calculation of crystalline TlTc2Os at its relaxed geometry, from the Alexandria database.

```
4
Lattice="4.931 -0.001 -0.001 4.077 2.773 -0.001 0.934 0.287 4.827" Properties=species:S:1:pos:R:3 pbc="T T T"
Os 2.590 0.797 0.954
Tc 0.035 0.011 0.081
Tc 7.323 2.254 3.740
Tl 4.964 1.528 2.461
```

Space group = Cm (8)
Excess energy over the best structure of this formula in the dataset = 0.134 eV/atom